TmPaRh4: optimized geometry, PBE.

Cell: 4.3610 7.5480 12.9294 Å, 90.00 90.00 90.00°
Positions (direct):
Tm  0.7500  0.2500  0.4437
Tm  0.2500  0.7500  0.5563
Tm  0.2500  0.2500  0.9437
Tm  0.7500  0.7500  0.0563
Pa  0.7500  0.7499  0.7704
Pa  0.2500  0.2501  0.2296
Pa  0.2500  0.7501  0.2704
Pa  0.7500  0.2499  0.7296
Rh  0.7500  0.9780  0.5950
Rh  0.2500  0.0220  0.4050
Rh  0.2500  0.5220  0.0950
Rh  0.7500  0.4780  0.9050
Rh  0.7500  0.7501  0.4121
Rh  0.2500  0.2499  0.5879
Rh  0.2500  0.7499  0.9121
Rh  0.7500  0.2501  0.0879
Rh  0.7500  0.0219  0.9050
Rh  0.2500  0.9781  0.0950
Rh  0.2500  0.4781  0.4050
Rh  0.7500  0.5219  0.5950
Rh  0.7500  0.0001  0.2500
Rh  0.2500  0.9999  0.7500
Rh  0.2500  0.4999  0.7500
Rh  0.7500  0.5001  0.2500

Output
Fermi-level density of states	21.5	states/eV/cell
final energy	-48.33	eV per formula unit
magnetic moment	0.0	μB per cell